<i>
{
  "formula": "VPt3S",
  "functional": "PBE",
  "state": "relaxed",
  "lattice": [[4.639, 0.000, 0.000], [0.000, 4.639, 0.000], [0.000, 0.000, 4.639]],
  "species": ["S", "Pt", "Pt", "Pt", "V"],
  "frac_coords": [[0.500, 0.500, 0.500], [0.000, 0.500, 0.000], [0.000, 0.000, 0.500], [0.500, 0.000, 0.000], [0.000, 0.000, 0.000]],
  "density_g_cm3": 11.12
}

---

<ii>
{
  "formula": "VPt3S",
  "functional": "PBE",
  "state": "relaxed",
  "lattice": [[-0.624, -1.018, -4.334], [2.674, -3.585, 0.457], [-3.560, -2.515, 1.103]],
  "species": ["Pt", "Pt", "Pt", "S", "V"],
  "frac_coords": [[0.000, 0.000, 0.500], [0.000, 0.500, 0.000], [0.500, 0.000, 0.000], [0.000, 0.000, 0.000], [0.500, 0.500, 0.500]],
  "density_g_cm3": 12.21
}

---

Last place for stability: <i>

---

<i>
{
  "formula": "PtWS2",
  "functional": "PBE",
  "state": "relaxed",
  "lattice": [[0.000, 3.077, 3.077], [3.077, 0.000, 3.077], [3.077, 3.077, 0.000]],
  "species": ["S", "S", "W", "Pt"],
  "frac_coords": [[0.750, 0.750, 0.750], [0.250, 0.250, 0.250], [0.000, 0.000, 0.000], [0.500, 0.500, 0.500]],
  "density_g_cm3": 12.62
}

---

<ii>
{
  "formula": "PtWS2",
  "functional": "PBE",
  "state": "relaxed",
  "lattice": [[-0.910, 4.326, 3.319], [-0.235, -3.393, 4.358], [4.449, 0.997, 4.523]],
  "species": ["W", "W", "S", "S", "S", "S", "Pt", "Pt"],
  "frac_coords": [[0.250, 0.750, 0.500], [0.500, 0.500, 0.000], [0.137, 0.625, 0.250], [0.375, 0.387, 0.750], [0.875, 0.863, 0.750], [0.613, 0.125, 0.250], [0.750, 0.250, 0.500], [0.000, 0.000, 0.000]],
  "density_g_cm3": 9.45
}

---

Last place for stability: <i>